1) {
  "formula": "Tb2Sm3Tl4",
  "functional": "GGA-PBE",
  "state": "relaxed",
  "lattice_angstrom": [[3.657, -7.854, 0.000], [3.657, 7.854, 0.000], [0.000, 0.000, 9.757]],
  "species": ["Tb", "Tb", "Tb", "Tb", "Sm", "Sm", "Sm", "Sm", "Sm", "Sm", "Tl", "Tl", "Tl", "Tl", "Tl", "Tl", "Tl", "Tl"],
  "frac_coords": [[0.106, 0.894, 0.944], [0.394, 0.606, 0.444], [0.606, 0.394, 0.556], [0.894, 0.106, 0.056], [0.000, 0.000, 0.500], [0.035, 0.465, 0.750], [0.465, 0.035, 0.250], [0.500, 0.500, 0.000], [0.535, 0.965, 0.750], [0.965, 0.535, 0.250], [0.196, 0.804, 0.526], [0.239, 0.261, 0.750], [0.261, 0.239, 0.250], [0.304, 0.696, 0.026], [0.696, 0.304, 0.974], [0.739, 0.761, 0.750], [0.761, 0.739, 0.250], [0.804, 0.196, 0.474]],
  "space_group": "Cmce",
  "magmom_total_mub_per_atom": 0.00
}


2) {
  "formula": "Tb2Sm3Tl4",
  "functional": "GGA-PBE",
  "state": "relaxed",
  "lattice_angstrom": [[5.358, 0.000, 0.000], [-2.679, 4.641, 0.000], [0.000, 0.000, 10.540]],
  "species": ["Tb", "Tb", "Sm", "Sm", "Sm", "Tl", "Tl", "Tl", "Tl"],
  "frac_coords": [[0.333, 0.667, 0.278], [0.667, 0.333, 0.722], [0.000, 0.000, 0.500], [0.333, 0.667, 0.922], [0.667, 0.333, 0.078], [0.000, 0.000, 0.155], [0.000, 0.000, 0.845], [0.333, 0.667, 0.602], [0.667, 0.333, 0.398]],
  "space_group": "P-3m1",
  "magmom_total_mub_per_atom": 0.00
}


Relative to the most stable one, in kJ/mol of atoms, the structures come out at 1) 10.8; 2) 0.0.


1) {
  "formula": "Tb5Sm2Tl",
  "functional": "GGA-PBE",
  "state": "relaxed",
  "lattice_angstrom": [[5.646, -3.573, 0.000], [5.646, 3.573, 0.000], [-5.619, 0.000, 6.170]],
  "species": ["Tb", "Tb", "Tb", "Tb", "Tb", "Sm", "Sm", "Tl"],
  "frac_coords": [[0.000, 0.000, 0.000], [0.054, 0.580, 0.169], [0.486, 0.987, 0.509], [0.580, 0.054, 0.169], [0.987, 0.486, 0.509], [0.464, 0.464, 0.999], [0.574, 0.574, 0.683], [0.057, 0.057, 0.652]],
  "space_group": "Cm",
  "magmom_total_mub_per_atom": 0.00
}


2) {
  "formula": "Tb5Sm2Tl",
  "functional": "GGA-PBE",
  "state": "relaxed",
  "lattice_angstrom": [[10.734, -3.380, 0.000], [10.734, 3.380, 0.000], [-0.587, 0.000, 3.512]],
  "species": ["Tb", "Tb", "Tb", "Tb", "Tb", "Sm", "Sm", "Tl"],
  "frac_coords": [[0.000, 0.000, 0.000], [0.137, 0.635, 0.387], [0.365, 0.863, 0.613], [0.635, 0.137, 0.387], [0.863, 0.365, 0.613], [0.239, 0.239, 0.238], [0.761, 0.761, 0.762], [0.500, 0.500, 0.000]],
  "space_group": "C2/m",
  "magmom_total_mub_per_atom": 0.00
}


Relative to the most stable one, in kJ/mol of atoms, the structures come out at 1) 0.0; 2) 7.5.


1) {
  "formula": "Tb3Sm2Tl2",
  "functional": "GGA-PBE",
  "state": "relaxed",
  "lattice_angstrom": [[-1.837, 2.613, 11.258], [1.837, -2.613, 11.258], [1.837, 2.613, -11.258]],
  "species": ["Tb", "Tb", "Tb", "Sm", "Sm", "Tl", "Tl"],
  "frac_coords": [[0.000, 0.000, 0.000], [0.296, 0.796, 0.500], [0.704, 0.204, 0.500], [0.427, 0.427, 0.000], [0.573, 0.573, 0.000], [0.152, 0.652, 0.500], [0.848, 0.348, 0.500]],
  "space_group": "Immm",
  "magmom_total_mub_per_atom": 0.00
}


2) {
  "formula": "Tb3Sm2Tl2",
  "functional": "GGA-PBE",
  "state": "relaxed",
  "lattice_angstrom": [[2.730, 1.576, 8.148], [-2.730, 1.576, 8.148], [0.000, -3.153, 8.148]],
  "species": ["Tb", "Tb", "Tb", "Sm", "Sm", "Tl", "Tl"],
  "frac_coords": [[0.000, 0.000, 0.000], [0.154, 0.154, 0.154], [0.846, 0.846, 0.846], [0.424, 0.424, 0.424], [0.576, 0.576, 0.576], [0.283, 0.283, 0.283], [0.717, 0.717, 0.717]],
  "space_group": "R-3m",
  "magmom_total_mub_per_atom": 0.00
}


Relative to the most stable one, in kJ/mol of atoms, the structures come out at 1) 8.9; 2) 0.0.


1) {
  "formula": "Tb2SmTl4",
  "functional": "GGA-PBE",
  "state": "relaxed",
  "lattice_angstrom": [[2.444, 1.411, 10.267], [-2.444, 1.411, 10.267], [0.000, -2.822, 10.267]],
  "species": ["Tb", "Tb", "Sm", "Tl", "Tl", "Tl", "Tl"],
  "frac_coords": [[0.130, 0.130, 0.130], [0.870, 0.870, 0.870], [0.000, 0.000, 0.000], [0.243, 0.243, 0.243], [0.384, 0.384, 0.384], [0.616, 0.616, 0.616], [0.757, 0.757, 0.757]],
  "space_group": "R-3m",
  "magmom_total_mub_per_atom": 0.00
}


2) {
  "formula": "Tb2SmTl4",
  "functional": "GGA-PBE",
  "state": "relaxed",
  "lattice_angstrom": [[-3.809, 3.809, 3.709], [3.809, -3.809, 3.709], [3.809, 3.809, -3.709]],
  "species": ["Tb", "Tb", "Sm", "Tl", "Tl", "Tl", "Tl"],
  "frac_coords": [[0.000, 0.500, 0.500], [0.500, 0.000, 0.500], [0.000, 0.000, 0.000], [0.000, 0.000, 0.500], [0.000, 0.500, 0.000], [0.500, 0.000, 0.000], [0.500, 0.500, 0.500]],
  "space_group": "I4/mmm",
  "magmom_total_mub_per_atom": 0.07
}


Relative to the most stable one, in kJ/mol of atoms, the structures come out at 1) 11.0; 2) 0.0.


1) {
  "formula": "Tb6Sm3Tl",
  "functional": "GGA-PBE",
  "state": "relaxed",
  "lattice_angstrom": [[5.516, -9.505, 0.000], [5.516, 9.505, 0.000], [0.000, 0.000, 6.153]],
  "species": ["Tb", "Tb", "Tb", "Tb", "Tb", "Tb", "Tb", "Tb", "Tb", "Tb", "Tb", "Tb", "Sm", "Sm", "Sm", "Sm", "Sm", "Sm", "Tl", "Tl"],
  "frac_coords": [[0.054, 0.482, 0.104], [0.058, 0.942, 0.500], [0.270, 0.730, 0.775], [0.287, 0.389, 0.913], [0.389, 0.287, 0.413], [0.482, 0.054, 0.604], [0.518, 0.946, 0.104], [0.611, 0.713, 0.913], [0.713, 0.611, 0.413], [0.730, 0.270, 0.275], [0.942, 0.058, 0.000], [0.946, 0.518, 0.604], [0.059, 0.267, 0.482], [0.267, 0.059, 0.982], [0.393, 0.607, 0.391], [0.607, 0.393, 0.891], [0.733, 0.941, 0.482], [0.941, 0.733, 0.982], [0.214, 0.786, 0.300], [0.786, 0.214, 0.800]],
  "space_group": "Cmc2_1",
  "magmom_total_mub_per_atom": 0.00
}


2) {
  "formula": "Tb6Sm3Tl",
  "functional": "GGA-PBE",
  "state": "relaxed",
  "lattice_angstrom": [[12.848, 0.000, 0.000], [0.000, 3.523, 0.000], [-2.703, 0.000, 14.112]],
  "species": ["Tb", "Tb", "Tb", "Tb", "Tb", "Tb", "Tb", "Tb", "Tb", "Tb", "Tb", "Tb", "Sm", "Sm", "Sm", "Sm", "Sm", "Sm", "Tl", "Tl"],
  "frac_coords": [[0.011, 0.250, 0.309], [0.158, 0.250, 0.883], [0.255, 0.750, 0.309], [0.273, 0.750, 0.715], [0.310, 0.750, 0.078], [0.390, 0.250, 0.538], [0.610, 0.750, 0.462], [0.690, 0.250, 0.922], [0.727, 0.250, 0.285], [0.745, 0.250, 0.691], [0.842, 0.750, 0.117], [0.989, 0.750, 0.691], [0.078, 0.250, 0.098], [0.132, 0.750, 0.504], [0.426, 0.250, 0.898], [0.574, 0.750, 0.102], [0.868, 0.250, 0.496], [0.922, 0.750, 0.902], [0.465, 0.250, 0.275], [0.535, 0.750, 0.725]],
  "space_group": "P2_1/m",
  "magmom_total_mub_per_atom": 0.00
}


Relative to the most stable one, in kJ/mol of atoms, the structures come out at 1) 1.5; 2) 0.0.


1) {
  "formula": "Tb3Sm2Tl",
  "functional": "GGA-PBE",
  "state": "relaxed",
  "lattice_angstrom": [[2.444, -7.662, 0.000], [2.444, 7.662, 0.000], [0.000, 0.000, 4.923]],
  "species": ["Tb", "Tb", "Tb", "Sm", "Sm", "Tl"],
  "frac_coords": [[0.000, 0.000, 0.000], [0.333, 0.667, 0.000], [0.667, 0.333, 0.000], [0.162, 0.838, 0.500], [0.838, 0.162, 0.500], [0.500, 0.500, 0.500]],
  "space_group": "Cmmm",
  "magmom_total_mub_per_atom": 0.00
}


2) {
  "formula": "Tb3Sm2Tl",
  "functional": "GGA-PBE",
  "state": "relaxed",
  "lattice_angstrom": [[-1.715, 5.007, 5.823], [1.715, -5.007, 5.823], [1.715, 5.007, -5.823]],
  "species": ["Tb", "Tb", "Tb", "Sm", "Sm", "Tl"],
  "frac_coords": [[0.000, 0.000, 0.000], [0.306, 0.966, 0.339], [0.627, 0.966, 0.661], [0.546, 0.717, 0.828], [0.889, 0.717, 0.172], [0.233, 0.733, 0.500]],
  "space_group": "Imm2",
  "magmom_total_mub_per_atom": 0.00
}


Relative to the most stable one, in kJ/mol of atoms, the structures come out at 1) 0.0; 2) 36.4.


1) {
  "formula": "TbSmTmTl",
  "functional": "GGA-PBE",
  "state": "relaxed",
  "lattice_angstrom": [[0.000, 3.883, 3.883], [3.883, 0.000, 3.883], [3.883, 3.883, 0.000]],
  "species": ["Tb", "Sm", "Tm", "Tl"],
  "frac_coords": [[0.000, 0.000, 0.000], [0.500, 0.500, 0.500], [0.250, 0.250, 0.250], [0.750, 0.750, 0.750]],
  "space_group": "F-43m",
  "magmom_total_mub_per_atom": 0.31
}


2) {
  "formula": "TbSmTmTl",
  "functional": "GGA-PBE",
  "state": "relaxed",
  "lattice_angstrom": [[4.837, 0.000, 0.000], [0.000, 4.864, 0.000], [0.000, 0.000, 4.905]],
  "species": ["Tb", "Sm", "Tm", "Tl"],
  "frac_coords": [[0.000, 0.000, 0.000], [0.500, 0.500, 0.000], [0.000, 0.500, 0.500], [0.500, 0.000, 0.500]],
  "space_group": "Pmmm",
  "magmom_total_mub_per_atom": 0.14
}


Relative to the most stable one, in kJ/mol of atoms, the structures come out at 1) 12.4; 2) 0.0.


1) {
  "formula": "TbSmYTl",
  "functional": "GGA-PBE",
  "state": "relaxed",
  "lattice_angstrom": [[0.000, 3.900, 3.900], [3.900, 0.000, 3.900], [3.900, 3.900, 0.000]],
  "species": ["Tb", "Sm", "Y", "Tl"],
  "frac_coords": [[0.000, 0.000, 0.000], [0.750, 0.750, 0.750], [0.250, 0.250, 0.250], [0.500, 0.500, 0.500]],
  "space_group": "F-43m",
  "magmom_total_mub_per_atom": 0.38
}


2) {
  "formula": "TbSmYTl",
  "functional": "GGA-PBE",
  "state": "relaxed",
  "lattice_angstrom": [[4.859, 0.000, 0.000], [0.000, 4.880, 0.000], [0.000, 0.000, 4.947]],
  "species": ["Tb", "Sm", "Y", "Tl"],
  "frac_coords": [[0.000, 0.000, 0.000], [0.500, 0.500, 0.000], [0.000, 0.500, 0.500], [0.500, 0.000, 0.500]],
  "space_group": "Pmmm",
  "magmom_total_mub_per_atom": 0.22
}


Relative to the most stable one, in kJ/mol of atoms, the structures come out at 1) 14.0; 2) 0.0.